Below is a geometry-optimized PrHo2In structure, with properties calculated at the PBE level.

Geometry as POSCAR:
```
PrHo2In
1.0
-4.1451 3.0592 -1.9003
-4.8961 -2.2968 -0.9511
-4.2627 1.1748 3.2560
Ho In Pr
2 1 1
Direct
0.2500 0.2500 0.2500
0.7500 0.7500 0.7500
0.5000 0.5000 0.5000
0.0000 0.0000 0.0000
```

Values from the calculation:
- Density of states at the Fermi level: 6.1 states/eV per cell
- ΔE_f: -84 meV/atom
- Spin magnetization: 1.52 μB per formula unit
- Energy above the most stable polymorph in this dataset: 175 meV/atom

Below is a geometry-optimized Ag5Se4 structure, with properties calculated at the PBE level.

Geometry as POSCAR:
```
Ag5Se4
1.0
5.5031 0.4276 5.1917
-7.2235 1.6085 -1.6293
-1.1733 -7.4317 0.9026
Ag Se
5 4
Direct
0.6645 0.2086 0.8731
0.2086 0.3355 0.5441
0.3355 0.7914 0.1269
0.7914 0.6645 0.4559
0.0000 0.0000 0.0000
0.2455 0.0423 0.2878
0.0423 0.7545 0.7968
0.7545 0.9577 0.7122
0.9577 0.2455 0.2032
```

Values from the calculation:
- Density of states at the Fermi level: 5.3 states/eV per cell
- Spin magnetization: 0.00 μB per formula unit
- Formation energy from raw total energies: 0.00 eV/atom
- Energy above the most stable polymorph in this dataset: 0 meV/atom

Among the records above, which one has the lowest density of states at the Fermi level?
Ag5Se4

The highest density of states at the Fermi level belongs to which entry?
PrHo2In

Which value of energy above the most stable polymorph in this dataset does entry 1 give?
175 meV/atom

Which of these has the lowest spin magnetization?
Ag5Se4